(1)
Material: SrPm6Te8
Method: DFT, PBE
State: relaxed

Values from the calculation:
- Final energy: -77.4 eV per formula unit
- Raw formation energy: -1.47 eV/atom
- Magnetization: 0.0 μB/cell

a b c (Å): 12.645 12.645 12.645
angles (deg): 90.00 90.00 90.00
Space group Fm-3m (No. 225)
Unique sites:
Sr1 0.000 0.000 0.000 x4
Pm1 0.000 0.250 0.250 x24
Te1 0.000 0.000 0.260 x24
Te2 0.250 0.250 0.250 x8


(2)
Material: SrPm2Te3
Method: DFT, PBE
State: relaxed

Values from the calculation:
- Final energy: -29.5 eV per formula unit
- Raw formation energy: -1.49 eV/atom
- Magnetization: 0.0 μB/cell

a b c (Å): 4.512 6.419 13.719
angles (deg): 90.00 90.00 90.00
Space group Immm (No. 71)
Unique sites:
Sr1 0.000 0.000 0.000 x2
Pm1 0.000 0.000 0.337 x4
Te1 0.000 0.500 0.000 x2
Te2 0.000 0.500 0.328 x4